[1]
VASP calculation (GGA-PBE) on LaCu3As after structural relaxation.

## Properties
energy of formation from the pure elements: 1.344 eV per atom
SG: Pm-3m (221)
Fermi-level density of states: 0.985 states/eV per atom
total energy: -15.1 eV for the cell shown
ρ: 5.082 g cm⁻³

Structure (CIF):
```
data_LaCu3As
_chemical_formula_sum 'La1 Cu3 As1'
_cell_length_a 5.094
_cell_length_b 5.094
_cell_length_c 5.094
_cell_angle_alpha 90.00
_cell_angle_beta 90.00
_cell_angle_gamma 90.00
_symmetry_space_group_name_H-M 'P 1'
_symmetry_Int_Tables_number 1
_symmetry_space_group_name_Hall 'P 1'
loop_
_atom_site_label
_atom_site_type_symbol
_atom_site_fract_x
_atom_site_fract_y
_atom_site_fract_z
La1 La 0.000 0.000 0.000
Cu1 Cu 0.500 0.000 0.000
Cu2 Cu 0.000 0.000 0.500
Cu3 Cu 0.000 0.500 0.000
As1 As 0.500 0.500 0.500
```

[2]
VASP calculation (GGA-PBE) on CaTm2Bi3 after structural relaxation.

## Properties
energy of formation from the pure elements: -0.739 eV per atom
SG: Fddd (70)
Fermi-level density of states: 0.390 states/eV per atom
total energy: -108.1 eV for the cell shown
ρ: 8.667 g cm⁻³

Structure (CIF):
```
data_CaTm2Bi3
_chemical_formula_sum 'Ca4 Tm8 Bi12'
_cell_length_a 7.793
_cell_length_b 7.793
_cell_length_c 14.167
_cell_angle_alpha 100.64
_cell_angle_beta 100.64
_cell_angle_gamma 109.18
_symmetry_space_group_name_H-M 'P 1'
_symmetry_Int_Tables_number 1
_symmetry_space_group_name_Hall 'P 1'
loop_
_atom_site_label
_atom_site_type_symbol
_atom_site_fract_x
_atom_site_fract_y
_atom_site_fract_z
Bi1 Bi 0.261 0.261 0.000
Bi2 Bi 0.511 0.011 0.500
Bi3 Bi 0.580 0.571 0.663
Bi4 Bi 0.429 0.420 0.337
Bi5 Bi 0.670 0.179 0.837
Bi6 Bi 0.908 0.917 0.337
Bi7 Bi 0.739 0.739 0.000
Bi8 Bi 0.167 0.658 0.837
Bi9 Bi 0.342 0.833 0.163
Bi10 Bi 0.989 0.489 0.500
Bi11 Bi 0.821 0.330 0.163
Bi12 Bi 0.083 0.092 0.663
Ca1 Ca 0.083 0.083 0.166
Ca2 Ca 0.917 0.917 0.834
Ca3 Ca 0.167 0.667 0.334
Ca4 Ca 0.333 0.833 0.666
Tm1 Tm 0.002 0.502 0.004
Tm2 Tm 0.415 0.415 0.830
Tm3 Tm 0.585 0.585 0.170
Tm4 Tm 0.498 0.998 0.996
Tm5 Tm 0.248 0.248 0.496
Tm6 Tm 0.752 0.752 0.504
Tm7 Tm 0.665 0.165 0.330
Tm8 Tm 0.835 0.335 0.670
```

[3]
VASP calculation (GGA-PBE) on HfTlN2O after structural relaxation.

## Properties
SG: P4/mmm (123)
Fermi-level density of states: 0.139 states/eV per atom
total energy: -28.9 eV for the cell shown
formation energy from raw total energies: 485 kJ/mol of formula units
ρ: 9.973 g cm⁻³

Structure (CIF):
```
data_HfTlN2O
_chemical_formula_sum 'Hf1 Tl1 N2 O1'
_cell_length_a 4.180
_cell_length_b 4.180
_cell_length_c 4.069
_cell_angle_alpha 90.00
_cell_angle_beta 90.00
_cell_angle_gamma 90.00
_symmetry_space_group_name_H-M 'P 1'
_symmetry_Int_Tables_number 1
_symmetry_space_group_name_Hall 'P 1'
loop_
_atom_site_label
_atom_site_type_symbol
_atom_site_fract_x
_atom_site_fract_y
_atom_site_fract_z
N1 N 0.500 0.000 0.000
N2 N 0.000 0.500 0.000
Hf1 Hf 0.500 0.500 0.500
Tl1 Tl 0.000 0.000 0.000
O1 O 0.000 0.000 0.500
```

[4]
VASP calculation (GGA-PBE) on Rb2PrGe2O6 after structural relaxation.

## Properties
SG: C2/m (12)
Fermi-level density of states: 0.154 states/eV per atom
total energy: -67.5 eV for the cell shown
formation energy from raw total energies: -2100 kJ/mol of formula units
ρ: 4.415 g cm⁻³

Structure (CIF):
```
data_Rb2PrGe2O6
_chemical_formula_sum 'Rb2 Pr1 Ge2 O6'
_cell_length_a 6.234
_cell_length_b 6.227
_cell_length_c 7.236
_cell_angle_alpha 116.61
_cell_angle_beta 90.00
_cell_angle_gamma 120.04
_symmetry_space_group_name_H-M 'P 1'
_symmetry_Int_Tables_number 1
_symmetry_space_group_name_Hall 'P 1'
loop_
_atom_site_label
_atom_site_type_symbol
_atom_site_fract_x
_atom_site_fract_y
_atom_site_fract_z
O1 O 0.218 0.963 0.247
O2 O 0.745 0.963 0.247
O3 O 0.255 0.037 0.753
O4 O 0.782 0.037 0.753
O5 O 0.757 0.514 0.674
O6 O 0.243 0.486 0.326
Rb1 Rb 0.290 0.580 0.832
Rb2 Rb 0.710 0.420 0.168
Ge1 Ge 0.945 0.889 0.788
Ge2 Ge 0.055 0.111 0.212
Pr1 Pr 0.500 0.000 0.500
```

[5]
VASP calculation (GGA-PBE) on NaBP after structural relaxation.

## Properties
energy of formation from the pure elements: -0.044 eV per atom
SG: P1 (1)
Fermi-level density of states: 0.085 states/eV per atom
total energy: -27.1 eV for the cell shown
ρ: 2.272 g cm⁻³

Structure (CIF):
```
data_NaBP
_chemical_formula_sum 'Na2 B2 P2'
_cell_length_a 3.231
_cell_length_b 5.684
_cell_length_c 6.215
_cell_angle_alpha 119.62
_cell_angle_beta 105.05
_cell_angle_gamma 89.99
_symmetry_space_group_name_H-M 'P 1'
_symmetry_Int_Tables_number 1
_symmetry_space_group_name_Hall 'P 1'
loop_
_atom_site_label
_atom_site_type_symbol
_atom_site_fract_x
_atom_site_fract_y
_atom_site_fract_z
P1 P 0.732 0.421 0.082
P2 P 0.322 0.308 0.263
Na1 Na 0.530 0.864 0.674
Na2 Na 0.027 0.363 0.671
B1 B 0.775 0.808 0.168
B2 B 0.279 0.920 0.176
```

[6]
VASP calculation (GGA-PBE) on TbSmCd5 after structural relaxation.

## Properties
energy of formation from the pure elements: -0.115 eV per atom
SG: P4/mmm (123)
Fermi-level density of states: 0.613 states/eV per atom
total energy: -14.7 eV for the cell shown
ρ: 7.780 g cm⁻³

Structure (CIF):
```
data_TbSmCd5
_chemical_formula_sum 'Tb1 Sm1 Cd5'
_cell_length_a 5.183
_cell_length_b 5.183
_cell_length_c 6.923
_cell_angle_alpha 90.00
_cell_angle_beta 90.00
_cell_angle_gamma 90.00
_symmetry_space_group_name_H-M 'P 1'
_symmetry_Int_Tables_number 1
_symmetry_space_group_name_Hall 'P 1'
loop_
_atom_site_label
_atom_site_type_symbol
_atom_site_fract_x
_atom_site_fract_y
_atom_site_fract_z
Cd1 Cd 0.500 0.000 0.769
Cd2 Cd 0.500 0.000 0.231
Cd3 Cd 0.000 0.500 0.769
Cd4 Cd 0.000 0.500 0.231
Cd5 Cd 0.500 0.500 0.500
Tb1 Tb 0.500 0.500 0.000
Sm1 Sm 0.000 0.000 0.500
```

[7]
VASP calculation (GGA-PBE) on AlHPd3 after structural relaxation.

## Properties
SG: I-4m2 (119)
Fermi-level density of states: 0.349 states/eV per atom
total energy: -47.6 eV for the cell shown
ρ: 8.415 g cm⁻³

Structure (CIF):
```
data_AlHPd3
_chemical_formula_sum 'Al2 H2 Pd6'
_cell_length_a 5.218
_cell_length_b 5.218
_cell_length_c 6.241
_cell_angle_alpha 65.29
_cell_angle_beta 65.29
_cell_angle_gamma 90.00
_symmetry_space_group_name_H-M 'P 1'
_symmetry_Int_Tables_number 1
_symmetry_space_group_name_Hall 'P 1'
loop_
_atom_site_label
_atom_site_type_symbol
_atom_site_fract_x
_atom_site_fract_y
_atom_site_fract_z
Al1 Al 0.600 0.100 0.800
Al2 Al 0.900 0.400 0.200
H1 H 0.000 0.000 0.000
H2 H 0.250 0.750 0.500
Pd1 Pd 0.120 0.372 0.760
Pd2 Pd 0.366 0.366 0.267
Pd3 Pd 0.628 0.880 0.240
Pd4 Pd 0.131 0.880 0.240
Pd5 Pd 0.120 0.869 0.760
Pd6 Pd 0.634 0.634 0.733
```

[8]
VASP calculation (GGA-PBE) on YTiH2 after structural relaxation.

## Properties
SG: Fm-3m (225)
Fermi-level density of states: 0.851 states/eV per atom
total energy: -19.8 eV for the cell shown
ρ: 4.575 g cm⁻³

Structure (CIF):
```
data_YTiH2
_chemical_formula_sum 'Y1 Ti1 H2'
_cell_length_a 4.145
_cell_length_b 4.145
_cell_length_c 4.145
_cell_angle_alpha 60.00
_cell_angle_beta 60.00
_cell_angle_gamma 60.00
_symmetry_space_group_name_H-M 'P 1'
_symmetry_Int_Tables_number 1
_symmetry_space_group_name_Hall 'P 1'
loop_
_atom_site_label
_atom_site_type_symbol
_atom_site_fract_x
_atom_site_fract_y
_atom_site_fract_z
Ti1 Ti 0.000 0.000 0.000
Y1 Y 0.500 0.500 0.500
H1 H 0.750 0.750 0.750
H2 H 0.250 0.250 0.250
```